## DyAlFe (GGA-PBE)

Data for DyAlFe after structural relaxation.

## Properties
V, A^3/atom: 18.312
Raw total energy, Ry per atom: -0.4111

Cell: 4.711 4.711 8.576 Å, 90.00 90.00 120.00°
Positions (direct):
Dy1 0.000 0.000 0.000
Dy2 0.667 0.333 0.313
Dy3 0.667 0.333 0.687
Al1 0.333 0.667 0.161
Al2 0.333 0.667 0.500
Al3 0.333 0.667 0.839
Fe1 0.000 0.000 0.365
Fe2 0.000 0.000 0.635
Fe3 0.667 0.333 0.000


## DyAlFe (GGA-PBE)

Data for DyAlFe after structural relaxation.

## Properties
V, A^3/atom: 19.643
Raw total energy, Ry per atom: -0.4012

Cell: 4.368 4.368 4.368 Å, 60.00 60.00 60.00°
Positions (direct):
Dy1 0.000 0.000 0.000
Al1 0.500 0.500 0.500
Fe1 0.750 0.750 0.750


## Dy4AlFe2Ge4 (GGA-PBE)

Data for Dy4AlFe2Ge4 after structural relaxation.

## Properties
V, A^3/atom: 19.438
Raw total energy, Ry per atom: -0.4309

Cell: 7.938 7.938 6.910 Å, 106.00 106.00 30.82°
Positions (direct):
Dy1 0.090 0.090 0.386
Dy2 0.151 0.151 0.941
Dy3 0.849 0.849 0.059
Dy4 0.910 0.910 0.614
Al1 0.500 0.500 0.000
Fe1 0.280 0.280 0.371
Fe2 0.720 0.720 0.629
Ge1 0.293 0.293 0.727
Ge2 0.433 0.433 0.336
Ge3 0.567 0.567 0.664
Ge4 0.707 0.707 0.273


## Dy3AlFeS7 (GGA-PBE)

Data for Dy3AlFeS7 after structural relaxation.

## Properties
V, A^3/atom: 20.409
Raw total energy, Ry per atom: -0.4497

Cell: 9.599 6.106 9.625 Å, 90.00 119.74 90.00°
Positions (direct):
Dy1 0.123 0.000 0.348
Dy2 0.274 0.498 0.120
Dy3 0.349 0.500 0.725
Dy4 0.651 0.000 0.275
Dy5 0.726 0.998 0.880
Dy6 0.877 0.500 0.652
Al1 0.167 0.922 0.833
Al2 0.833 0.422 0.167
Fe1 0.497 0.824 0.496
Fe2 0.503 0.324 0.504
S1 0.019 0.767 0.929
S2 0.072 0.766 0.590
S3 0.166 0.289 0.832
S4 0.262 0.587 0.398
S5 0.363 0.088 0.262
S6 0.398 0.086 0.637
S7 0.410 0.767 0.981
S8 0.590 0.267 0.019
S9 0.602 0.586 0.363
S10 0.637 0.588 0.738
S11 0.738 0.087 0.602
S12 0.834 0.789 0.168
S13 0.928 0.266 0.410
S14 0.981 0.267 0.071


## DyTmAl4Fe2 (GGA-PBE)

Data for DyTmAl4Fe2 after structural relaxation.

## Properties
V, A^3/atom: 17.709
Raw total energy, Ry per atom: -0.4006

Cell: 7.010 5.410 5.410 Å, 43.67 90.00 90.00°
Positions (direct):
Dy1 0.000 0.000 0.000
Tm1 0.500 0.124 0.124
Al1 0.195 0.718 0.718
Al2 0.307 0.406 0.406
Al3 0.693 0.406 0.406
Al4 0.805 0.718 0.718
Fe1 0.000 0.276 0.276
Fe2 0.500 0.848 0.848


## DyYAl4Fe2 (GGA-PBE)

Data for DyYAl4Fe2 after structural relaxation.

## Properties
V, A^3/atom: 17.879
Raw total energy, Ry per atom: -0.4187

Cell: 7.071 5.448 5.448 Å, 42.96 90.00 90.00°
Positions (direct):
Dy1 0.000 0.000 0.000
Y1 0.500 0.880 0.880
Al1 0.193 0.281 0.281
Al2 0.307 0.598 0.598
Al3 0.693 0.598 0.598
Al4 0.807 0.281 0.281
Fe1 0.000 0.725 0.725
Fe2 0.500 0.155 0.155


## Dy2Al3Ga3 (GGA-PBE)

Data for Dy2Al3Ga3 after structural relaxation.

## Properties
V, A^3/atom: 19.461
Raw total energy, Ry per atom: -0.3067
Polymorph energy (0 for the lowest one), eV/atom: 0.007

Cell: 4.572 6.269 6.269 Å, 60.06 90.00 90.00°
Positions (direct):
Dy1 0.000 0.000 0.000
Dy2 0.500 0.334 0.334
Al1 0.000 0.521 0.958
Al2 0.000 0.958 0.521
Al3 0.500 0.811 0.811
Ga1 0.000 0.518 0.518
Ga2 0.500 0.370 0.817
Ga3 0.500 0.817 0.370


## Dy2Al3Ga3 (GGA-PBE)

Data for Dy2Al3Ga3 after structural relaxation.

## Properties
V, A^3/atom: 19.465
Raw total energy, Ry per atom: -0.3068
Polymorph energy (0 for the lowest one), eV/atom: 0.006

Cell: 6.246 4.569 6.268 Å, 90.00 119.47 90.00°
Positions (direct):
Dy1 0.000 0.000 0.000
Dy2 0.332 0.500 0.674
Al1 0.518 0.000 0.479
Al2 0.811 0.500 0.195
Al3 0.958 0.000 0.477
Ga1 0.368 0.500 0.195
Ga2 0.521 0.000 0.038
Ga3 0.812 0.500 0.635


## Dy2AlGa5 (GGA-PBE)

Data for Dy2AlGa5 after structural relaxation.

## Properties
V, A^3/atom: 19.343
Raw total energy, Ry per atom: -0.2962

Cell: 4.559 6.249 6.249 Å, 60.38 90.00 90.00°
Positions (direct):
Dy1 0.000 0.000 0.000
Dy2 0.500 0.330 0.330
Al1 0.000 0.522 0.522
Ga1 0.000 0.519 0.964
Ga2 0.000 0.964 0.519
Ga3 0.500 0.369 0.809
Ga4 0.500 0.809 0.369
Ga5 0.500 0.813 0.813


## Dy2Al3Ga3 (GGA-PBE)

Data for Dy2Al3Ga3 after structural relaxation.

## Properties
V, A^3/atom: 19.420
Raw total energy, Ry per atom: -0.3072
Polymorph energy (0 for the lowest one), eV/atom: 0.000

Cell: 6.294 6.294 4.529 Å, 90.00 90.00 120.00°
Positions (direct):
Dy1 0.000 0.000 0.000
Dy2 0.333 0.667 0.500
Al1 0.520 0.041 0.000
Al2 0.520 0.480 0.000
Al3 0.959 0.480 0.000
Ga1 0.371 0.186 0.500
Ga2 0.814 0.186 0.500
Ga3 0.814 0.629 0.500


## Dy3Al2GaGe2Ir (GGA-PBE)

Data for Dy3Al2GaGe2Ir after structural relaxation.

## Properties
V, A^3/atom: 19.781
Raw total energy, Ry per atom: -0.4105

Cell: 4.227 6.960 6.960 Å, 119.60 90.00 90.00°
Positions (direct):
Dy1 0.000 0.000 0.000
Dy2 0.000 0.416 0.826
Dy3 0.000 0.826 0.416
Al1 0.500 0.184 0.413
Al2 0.500 0.413 0.184
Ga1 0.500 0.646 0.646
Ge1 0.500 0.084 0.747
Ge2 0.500 0.747 0.084
Ir1 0.000 0.407 0.407


## Dy3Al2GaGe2Pt (GGA-PBE)

Data for Dy3Al2GaGe2Pt after structural relaxation.

## Properties
V, A^3/atom: 19.947
Raw total energy, Ry per atom: -0.3884

Cell: 4.236 6.963 6.963 Å, 119.06 90.00 90.00°
Positions (direct):
Dy1 0.000 0.000 0.000
Dy2 0.000 0.167 0.575
Dy3 0.000 0.575 0.167
Al1 0.500 0.582 0.816
Al2 0.500 0.816 0.582
Ga1 0.500 0.347 0.347
Ge1 0.500 0.247 0.906
Ge2 0.500 0.906 0.247
Pt1 0.000 0.596 0.596


Q: V of number 7 (Dy2Al3Ga3)?
A: 19.461 A^3/atom


Please write out number 8 again, unchanged.
## Dy2Al3Ga3 (GGA-PBE)

Data for Dy2Al3Ga3 after structural relaxation.

## Properties
V, A^3/atom: 19.465
Raw total energy, Ry per atom: -0.3068
Polymorph energy (0 for the lowest one), eV/atom: 0.006

Cell: 6.246 4.569 6.268 Å, 90.00 119.47 90.00°
Positions (direct):
Dy1 0.000 0.000 0.000
Dy2 0.332 0.500 0.674
Al1 0.518 0.000 0.479
Al2 0.811 0.500 0.195
Al3 0.958 0.000 0.477
Ga1 0.368 0.500 0.195
Ga2 0.521 0.000 0.038
Ga3 0.812 0.500 0.635


Q: raw total energy of number 3 (Dy4AlFe2Ge4)?
A: -0.4309 Ry per atom